! CsFeAs2Pd | the Alexandria database | PBE | relaxed; values from VASP
&SYSTEM
  ibrav = 0, nat = 5, ntyp = 4
/
ATOMIC_SPECIES
Cs 132.91 Cs.upf
Fe 55.84 Fe.upf
As 74.92 As.upf
Pd 106.42 Pd.upf
CELL_PARAMETERS angstrom
4.489 0.000 0.000
0.000 4.489 0.000
0.000 0.000 6.347
ATOMIC_POSITIONS angstrom
Cs 0.000 0.000 0.000
Fe 0.000 0.000 3.174
As 0.000 2.244 3.174
As 2.244 0.000 3.174
Pd 2.244 2.244 0.000
! space-group type	P4/mmm (123)
! electronic total energy	-4.229	eV/atom
! M_tot	0.87	μB per formula unit
! formation energy from the elements	0.5330	eV/atom

! CsScFeAs2 | the Alexandria database | PBE | relaxed; values from VASP
&SYSTEM
  ibrav = 0, nat = 5, ntyp = 4
/
ATOMIC_SPECIES
Cs 132.91 Cs.upf
Sc 44.96 Sc.upf
Fe 55.84 Fe.upf
As 74.92 As.upf
CELL_PARAMETERS angstrom
5.614 0.000 0.000
0.000 5.614 0.000
0.000 0.000 4.877
ATOMIC_POSITIONS angstrom
Cs 0.000 0.000 0.000
Sc 2.807 2.807 2.438
Fe 0.000 0.000 2.438
As 0.000 2.807 0.000
As 2.807 0.000 0.000
! space-group type	P4/mmm (123)
! electronic total energy	-3.259	eV/atom
! M_tot	2.42	μB per formula unit
! formation energy from the elements	1.7301	eV/atom

! CsFeAs2Se | the Alexandria database | PBE | relaxed; values from VASP
&SYSTEM
  ibrav = 0, nat = 5, ntyp = 4
/
ATOMIC_SPECIES
Cs 132.91 Cs.upf
Fe 55.84 Fe.upf
As 74.92 As.upf
Se 78.96 Se.upf
CELL_PARAMETERS angstrom
4.831 0.000 0.000
0.000 4.831 0.000
0.000 0.000 5.350
ATOMIC_POSITIONS angstrom
Cs 0.000 0.000 0.000
Fe 2.415 2.415 2.675
As 0.000 2.415 2.675
As 2.415 0.000 2.675
Se 2.415 2.415 0.000
! space-group type	P4/mmm (123)
! electronic total energy	-4.338	eV/atom
! energy relative to the elements, uncorrected	0.41	eV/f.u.
! M_tot	2.83	μB per formula unit

Which of these has the highest electronic total energy? CsScFeAs2

Look up the electronic total energy of the first one. -4.229 eV/atom

What is the M_tot in the third record? 2.83 μB per formula unit

M_tot of number 1 (CsFeAs2Pd)? 0.87 μB per formula unit